1.
The following is a DFT calculation (PBEsol) of an optimized crystal structure of InOsBr.

a = 4.463 Å, b = 4.463 Å, c = 4.463 Å
α = 60.00°, β = 60.00°, γ = 60.00°
Fractional coordinates of all 3 atoms:
In 0.500 0.500 0.500
Br 0.000 0.000 0.000
Os 0.250 0.250 0.250

Calculated values
total moment: 0.0 μB per cell
crystal system: cubic
VASP energy: -14.17 eV per cell



2.
The following is a DFT calculation (PBEsol) of an optimized crystal structure of Pr2Ga7Ni.

a = 4.254 Å, b = 4.254 Å, c = 10.275 Å
α = 90.00°, β = 90.00°, γ = 90.00°
Fractional coordinates of all 10 atoms:
Ga 0.500 0.500 0.910
Ga 0.000 0.000 0.618
Ga 0.000 0.500 0.755
Ga 0.500 0.000 0.233
Ga 0.000 0.000 0.381
Ga 0.500 0.000 0.755
Ga 0.000 0.500 0.233
Pr 0.500 0.500 0.484
Pr 0.000 0.000 0.997
Ni 0.500 0.500 0.134

Calculated values
energy relative to the elements: -5.97 eV per formula unit
total moment: 0.0 μB per cell
crystal system: tetragonal
VASP energy: -45.87 eV per cell



3.
The following is a DFT calculation (PBEsol) of an optimized crystal structure of MgZrRe4.

a = 5.228 Å, b = 5.228 Å, c = 5.228 Å
α = 60.00°, β = 60.00°, γ = 60.00°
Fractional coordinates of all 6 atoms:
Re 0.375 0.375 0.876
Re 0.876 0.375 0.375
Re 0.375 0.876 0.375
Re 0.375 0.375 0.375
Mg 0.000 0.000 0.000
Zr 0.750 0.750 0.750

Calculated values
energy relative to the elements: -0.55 eV per formula unit
total moment: 0.0 μB per cell
crystal system: cubic
VASP energy: -64.68 eV per cell



4.
The following is a DFT calculation (PBEsol) of an optimized crystal structure of Li2SbPt.

a = 3.919 Å, b = 3.919 Å, c = 4.116 Å
α = 90.00°, β = 90.00°, γ = 90.00°
Fractional coordinates of all 4 atoms:
Li 0.000 0.500 0.000
Li 0.500 0.000 0.000
Sb 0.000 0.000 0.500
Pt 0.500 0.500 0.500

Calculated values
total moment: 0.0 μB per cell
crystal system: tetragonal
VASP energy: -17.72 eV per cell